Here is a geometry-optimized BaCd6Pd structure from Alexandria via LeMat-Bulk. Energies are from PBE.

abc: 4.815 4.815 10.603
angles: 76.88 76.88 60.00
Fractional positions:
Ba 0.500 0.500 0.500
Cd 0.639 0.639 0.082
Cd 0.093 0.093 0.721
Cd 0.907 0.907 0.279
Cd 0.361 0.361 0.918
Cd 0.260 0.260 0.221
Cd 0.740 0.740 0.779
Pd 0.000 0.000 0.000

Results
Volume in Å³ per cell: 205
Magnetic moment in μB per cell: 0.0
Crystal system: trigonal
Polymorph energy (0 for the lowest one) in meV/atom: 22